1.
9
Lattice="-3.5279 3.5279 4.6453 3.5279 -3.5279 4.6453 3.5279 3.5279 -4.6453" Properties=species:S:1:pos:R:3 comment="Pm2In2Sn4Rh PBE relaxed" vol_a3_per_atom=25.7 spacegroup=I4/mmm formation_enthalpy_0k_ev_per_atom=-0.415 pbc="T T T"
Pm 3.5279 0.0000 2.3226
Pm 0.0000 3.5279 2.3226
In 0.0000 0.0000 2.0136
In 0.0000 0.0000 7.2769
Sn 1.6558 1.6558 0.0000
Sn 1.8721 -1.8721 4.6453
Sn -1.8721 1.8721 4.6453
Sn 1.8721 1.8721 4.6453
Rh 0.0000 0.0000 4.6453

***

2.
5
Lattice="5.5456 0.0000 0.0000 0.0000 5.5456 0.0000 0.0000 0.0000 3.7015" Properties=species:S:1:pos:R:3 comment="TiCrTe2N PBE relaxed" e_above_lowest_polymorph_mev_per_atom=36 vol_a3_per_atom=22.8 spacegroup=P4/mmm e_form_raw_mev_per_atom=160 pbc="T T T"
Ti 0.0000 0.0000 0.0000
Cr 2.7728 2.7728 1.8507
Te 0.0000 2.7728 0.0000
Te 2.7728 0.0000 0.0000
N 0.0000 0.0000 1.8507

***

3.
8
Lattice="4.0906 0.0000 0.0000 0.0000 4.0906 0.0000 0.0000 0.0000 9.4081" Properties=species:S:1:pos:R:3 comment="TbThSi2Pt4 PBE relaxed" vol_a3_per_atom=19.7 spacegroup=P4/mmm e_form_raw_mev_per_atom=-990 pbc="T T T"
Tb 0.0000 0.0000 0.0000
Th 0.0000 0.0000 4.7040
Si 2.0453 2.0453 1.1673
Si 2.0453 2.0453 8.2408
Pt 0.0000 2.0453 2.4936
Pt 0.0000 2.0453 6.9145
Pt 2.0453 0.0000 2.4936
Pt 2.0453 0.0000 6.9145

***

Copy entry 3 word for word.
8
Lattice="4.0906 0.0000 0.0000 0.0000 4.0906 0.0000 0.0000 0.0000 9.4081" Properties=species:S:1:pos:R:3 comment="TbThSi2Pt4 PBE relaxed" vol_a3_per_atom=19.7 spacegroup=P4/mmm e_form_raw_mev_per_atom=-990 pbc="T T T"
Tb 0.0000 0.0000 0.0000
Th 0.0000 0.0000 4.7040
Si 2.0453 2.0453 1.1673
Si 2.0453 2.0453 8.2408
Pt 0.0000 2.0453 2.4936
Pt 0.0000 2.0453 6.9145
Pt 2.0453 0.0000 2.4936
Pt 2.0453 0.0000 6.9145